Below is a relaxed structure of CaCe2S4, with properties calculated at the GGA-PBE level.

Unit cell a=3.9795 b=6.9770 c=13.4562 alpha=90.00 beta=90.00 gamma=106.57
Closest atoms and distances in Å follow each position.
Atoms (fractional coordinates):
Ca  0.6159  0.2318  0.7500  6 S 2.80-3.04
Ca  0.3841  0.7682  0.2500  6 S 2.80-3.04
Ce  0.1317  0.2634  0.4290  6 S 2.76-2.86
Ce  0.8683  0.7366  0.9290  6 S 2.76-2.86
Ce  0.1317  0.2634  0.0710  6 S 2.76-2.86
Ce  0.8683  0.7366  0.5710  6 S 2.76-2.86
S  0.7736  0.5472  0.1197  3 Ce 2.83-2.86, 2 Ca 3.04
S  0.7736  0.5472  0.3803  3 Ce 2.83-2.86, 2 Ca 3.04
S  0.2264  0.4528  0.8803  3 Ce 2.83-2.86, 2 Ca 3.04
S  0.2264  0.4528  0.6197  3 Ce 2.83-2.86, 2 Ca 3.04
S  0.9689  0.9378  0.7500  2 Ce 2.76, 2 Ca 2.80
S  0.0311  0.0622  0.2500  2 Ce 2.76, 2 Ca 2.80
S  0.5000  0.0000  0.0000  4 Ce 2.82
S  0.5000  0.0000  0.5000  4 Ce 2.82

The density of states at the Fermi level is 12.60 states/eV/f.u. The uncorrected formation energy comes out at -1.970 eV/atom. The size of the total moment is 0.270 μB/atom.

***

Below is a relaxed structure of CaSm5N6, with properties calculated at the GGA-PBE level.

Unit cell a=6.1963 b=6.2053 c=6.2066 alpha=60.01 beta=80.41 gamma=70.54
Closest atoms and distances in Å follow each position.
Atoms (fractional coordinates):
Ca  0.0000  0.0000  0.0000  6 N 2.59-2.60
Sm  0.5000  0.1657  0.6686  6 N 2.48-2.55
Sm  0.0000  0.3332  0.3336  6 N 2.52-2.53
Sm  0.5000  0.5000  0.0000  6 N 2.46-2.55
Sm  0.0000  0.6668  0.6664  6 N 2.52-2.53
Sm  0.5000  0.8343  0.3314  6 N 2.48-2.55
N  0.7468  0.0843  0.3433  5 Sm 2.48-2.55, 1 Ca 2.59
N  0.2532  0.5724  0.3433  5 Sm 2.48-2.55, 1 Ca 2.59
N  0.2559  0.2579  0.0000  5 Sm 2.46-2.53, 1 Ca 2.60
N  0.7441  0.7421  0.0000  5 Sm 2.46-2.53, 1 Ca 2.60
N  0.7468  0.4276  0.6567  5 Sm 2.48-2.55, 1 Ca 2.59
N  0.2532  0.9157  0.6567  5 Sm 2.48-2.55, 1 Ca 2.59

The density of states at the Fermi level is 7.65 states/eV/f.u. The uncorrected formation energy comes out at -1.314 eV/atom. The size of the total moment is 0.000 μB/atom.

***

Below is a relaxed structure of Mg2TeOs, with properties calculated at the GGA-PBE level.

Unit cell a=3.0819 b=3.0819 c=10.1968 alpha=90.00 beta=90.00 gamma=117.93
Closest atoms and distances in Å follow each position.
Atoms (fractional coordinates):
Mg  0.0000  0.0000  0.0171  8 Mg 3.08-3.18
Mg  0.5000  0.5000  0.2826  2 Os 2.70
Os  0.0000  0.0000  0.4961  2 Te 2.65, 2 Mg 2.70
Te  0.5000  0.5000  0.7041  2 Os 2.65

The density of states at the Fermi level is 3.57 states/eV/f.u. The uncorrected formation energy comes out at 0.483 eV/atom. The size of the total moment is 0.000 μB/atom.

***

Question: Among the records above, which one has the highest uncorrected formation energy?
Answer: Mg2TeOs

***

Question: density of states at the Fermi level of number 3 (Mg2TeOs)?
Answer: 3.57 states/eV/f.u.

***

Question: What is the uncorrected formation energy in the first record?
Answer: -1.970 eV/atom